[1]
{"formula": "La2HoF8", "functional": "PBE", "state": "optimized geometry", "vol_a3_per_atom": 14.1, "n_ef_per_ev_atom": 0.3649, "formation_energy_uncorrected_ev_per_atom": -3.915, "magnetic_moment_mub_per_atom": 0.091, "sg": "C2/m (12)", "lattice_angstrom": [[7.585, -2.037, 0.000], [7.585, 2.037, 0.000], [-1.764, 0.000, 5.019]], "species": ["La", "La", "Ho", "F", "F", "F", "F", "F", "F", "F", "F"], "fractional_positions": [[0.178, 0.178, 0.208], [0.822, 0.822, 0.792], [0.500, 0.500, 0.500], [0.025, 0.025, 0.302], [0.221, 0.221, 0.791], [0.356, 0.356, 0.546], [0.405, 0.405, 0.084], [0.595, 0.595, 0.916], [0.644, 0.644, 0.454], [0.779, 0.779, 0.209], [0.975, 0.975, 0.698]]}

=====

[2]
{"formula": "SmHoAgSb", "functional": "PBE", "state": "optimized geometry", "vol_a3_per_atom": 25.8, "n_ef_per_ev_atom": 1.2715, "formation_energy_uncorrected_ev_per_atom": -0.549, "magnetic_moment_mub_per_atom": 0.041, "sg": "F-43m (216)", "lattice_angstrom": [[7.442, 0.000, 0.000], [0.000, 7.442, 0.000], [0.000, 0.000, 7.442]], "species": ["Sm", "Sm", "Sm", "Sm", "Ho", "Ho", "Ho", "Ho", "Ag", "Ag", "Ag", "Ag", "Sb", "Sb", "Sb", "Sb"], "fractional_positions": [[0.000, 0.000, 0.000], [0.000, 0.500, 0.500], [0.500, 0.000, 0.500], [0.500, 0.500, 0.000], [0.000, 0.000, 0.500], [0.000, 0.500, 0.000], [0.500, 0.000, 0.000], [0.500, 0.500, 0.500], [0.250, 0.250, 0.750], [0.250, 0.750, 0.250], [0.750, 0.250, 0.250], [0.750, 0.750, 0.750], [0.250, 0.250, 0.250], [0.250, 0.750, 0.750], [0.750, 0.250, 0.750], [0.750, 0.750, 0.250]]}

=====

[3]
{"formula": "Hf2IrPd2", "functional": "PBE", "state": "optimized geometry", "vol_a3_per_atom": 18.9, "n_ef_per_ev_atom": 0.6946, "e_form_ev_per_fu": -2.866, "magnetic_moment_mub_per_atom": 0.000, "sg": "Ibam (72)", "de_polymorph_mev_per_atom": 17, "lattice_angstrom": [[-3.030, 5.754, 2.716], [3.030, -5.754, 2.716], [3.030, 5.754, -2.716]], "species": ["Hf", "Hf", "Hf", "Hf", "Ir", "Ir", "Pd", "Pd", "Pd", "Pd"], "fractional_positions": [[0.164, 0.211, 0.375], [0.336, 0.711, 0.048], [0.664, 0.289, 0.952], [0.836, 0.789, 0.625], [0.250, 0.250, 0.000], [0.750, 0.750, 0.000], [0.107, 0.647, 0.754], [0.393, 0.147, 0.540], [0.607, 0.853, 0.460], [0.893, 0.353, 0.246]]}

=====

[4]
{"formula": "KCa2Mn", "functional": "PBE", "state": "optimized geometry", "vol_a3_per_atom": 39.7, "n_ef_per_ev_atom": 1.0699, "e_form_ev_per_fu": 1.838, "magnetic_moment_mub_per_atom": 1.024, "sg": "Pm (6)", "de_polymorph_mev_per_atom": 125, "lattice_angstrom": [[4.096, 0.000, 0.000], [0.000, 4.077, 0.000], [-0.006, 0.000, 9.516]], "species": ["K", "Ca", "Ca", "Mn"], "fractional_positions": [[0.000, 0.000, 0.000], [0.002, 0.000, 0.596], [0.502, 0.500, 0.348], [0.503, 0.500, 0.725]]}

=====

[5]
{"formula": "Ac8Sn5Bi", "functional": "PBE", "state": "optimized geometry", "vol_a3_per_atom": 38.0, "n_ef_per_ev_atom": 0.5871, "e_form_ev_per_fu": -10.104, "magnetic_moment_mub_per_atom": 0.000, "sg": "I-4 (82)", "lattice_angstrom": [[-5.109, 5.109, 5.099], [5.109, -5.109, 5.099], [5.109, 5.109, -5.099]], "species": ["Ac", "Ac", "Ac", "Ac", "Ac", "Ac", "Ac", "Ac", "Sn", "Sn", "Sn", "Sn", "Sn", "Bi"], "fractional_positions": [[0.010, 0.623, 0.752], [0.235, 0.484, 0.107], [0.377, 0.129, 0.387], [0.377, 0.129, 0.893], [0.516, 0.623, 0.752], [0.742, 0.990, 0.613], [0.871, 0.258, 0.248], [0.871, 0.765, 0.248], [0.000, 0.000, 0.000], [0.127, 0.250, 0.624], [0.497, 0.873, 0.123], [0.626, 0.503, 0.376], [0.750, 0.374, 0.877], [0.250, 0.750, 0.500]]}

=====

[6]
{"formula": "Sc2CoMo", "functional": "PBE", "state": "optimized geometry", "vol_a3_per_atom": 18.1, "n_ef_per_ev_atom": 0.9792, "e_form_ev_per_fu": 0.063, "magnetic_moment_mub_per_atom": 0.080, "sg": "P4mm (99)", "lattice_angstrom": [[2.974, 0.000, 0.000], [0.000, 2.974, 0.000], [0.000, 0.000, 8.176]], "species": ["Sc", "Sc", "Co", "Mo"], "fractional_positions": [[0.000, 0.000, 0.000], [0.500, 0.500, 0.354], [0.000, 0.000, 0.575], [0.500, 0.500, 0.748]]}

=====

[7]
{"formula": "GaRuO2F", "functional": "PBE", "state": "optimized geometry", "vol_a3_per_atom": 13.7, "n_ef_per_ev_atom": 0.6770, "formation_energy_uncorrected_ev_per_atom": -0.886, "magnetic_moment_mub_per_atom": 0.179, "sg": "P4/mmm (123)", "lattice_angstrom": [[3.827, 0.000, 0.000], [0.000, 3.827, 0.000], [0.000, 0.000, 4.682]], "species": ["Ga", "Ru", "O", "O", "F"], "fractional_positions": [[0.000, 0.000, 0.000], [0.500, 0.500, 0.500], [0.000, 0.500, 0.500], [0.500, 0.000, 0.500], [0.500, 0.500, 0.000]]}